VASP calculation (PBEsol) on a relaxed CuTe2 crystal.

abc: 6.5063 6.5063 6.5063
angles: 90.00 90.00 90.00
Closest atoms and distances in Å follow each position.
Sites, in units of the cell vectors:
Cu: 0.0000 0.0000 0.0000  6 Te 2.70
Cu: 0.0000 0.5000 0.5000  6 Te 2.70
Cu: 0.5000 0.0000 0.5000  6 Te 2.70
Cu: 0.5000 0.5000 0.0000  6 Te 2.70
Te: 0.1256 0.6256 0.8744  3 Cu 2.70, 1 Te 2.83
Te: 0.1256 0.8744 0.3744  3 Cu 2.70, 1 Te 2.83
Te: 0.3744 0.1256 0.8744  3 Cu 2.70, 1 Te 2.83
Te: 0.3744 0.3744 0.3744  3 Cu 2.70, 1 Te 2.83
Te: 0.6256 0.6256 0.6256  3 Cu 2.70, 1 Te 2.83
Te: 0.6256 0.8744 0.1256  3 Cu 2.70, 1 Te 2.83
Te: 0.8744 0.1256 0.6256  3 Cu 2.70, 1 Te 2.83
Te: 0.8744 0.3744 0.1256  3 Cu 2.70, 1 Te 2.83

E_form (uncorrected) = -0.016 eV per atom
VASP energy = -0.28011 Ry per atom
volume = 275 Å³ per cell